Crystalline Y2ThSe4 at its relaxed geometry, computed with PBE-GGA.

The value obtained for the formation energy without anion corrections is -1.74 eV/atom.

a b c (Å): 7.0478 7.0478 13.7381
angles (deg): 90.00 90.00 146.64
Element x y z (fractional)
Y 0.1341 0.8659 0.5663
Y 0.1341 0.8659 0.9337
Y 0.8659 0.1341 0.0663
Y 0.8659 0.1341 0.4337
Th 0.3745 0.6255 0.7500
Th 0.6255 0.3745 0.2500
Se 0.0337 0.9663 0.7500
Se 0.2259 0.7741 0.1238
Se 0.2259 0.7741 0.3762
Se 0.5000 0.5000 0.0000
Se 0.5000 0.5000 0.5000
Se 0.7741 0.2259 0.6238
Se 0.7741 0.2259 0.8762
Se 0.9663 0.0337 0.2500

=====

Crystalline Re2MoRh at its relaxed geometry, computed with PBE-GGA.

For the formation energy from the elements, the calculation gives 0.077 eV/atom. The energy above the most stable polymorph in this dataset is 2.66 kcal/mol of atoms.

a b c (Å): 2.6732 4.1077 5.5411
angles (deg): 90.00 95.74 90.00
Element x y z (fractional)
Re 0.0644 0.0000 0.2388
Re 0.9356 0.0000 0.7612
Mo 0.5000 0.5000 0.5000
Rh 0.5000 0.5000 0.0000

=====

Crystalline CuNi2Ir at its relaxed geometry, computed with PBE-GGA.

For the formation energy from the elements, the calculation gives 0.192 eV/atom.

a b c (Å): 2.5802 2.5802 8.5429
angles (deg): 90.00 90.00 117.59
Element x y z (fractional)
Cu 0.0000 0.0000 0.0000
Ni 0.0000 0.0000 0.4777
Ni 0.5000 0.5000 0.2420
Ir 0.5000 0.5000 0.7335

=====

Crystalline Rb2ReSbBr6 at its relaxed geometry, computed with PBE-GGA.

The value obtained for the formation energy without anion corrections is -0.60 eV/atom.

a b c (Å): 7.9716 7.9716 7.9716
angles (deg): 60.00 60.00 60.00
Element x y z (fractional)
Rb 0.2500 0.2500 0.2500
Rb 0.7500 0.7500 0.7500
Re 0.0000 0.0000 0.0000
Sb 0.5000 0.5000 0.5000
Br 0.2314 0.2314 0.7686
Br 0.2314 0.7686 0.2314
Br 0.2314 0.7686 0.7686
Br 0.7686 0.2314 0.2314
Br 0.7686 0.2314 0.7686
Br 0.7686 0.7686 0.2314